VASP calculation (PBE) on a relaxed structure of Tl2ZnGa10.

Unit cell a=6.108 b=7.800 c=13.657 alpha=90.00 beta=90.24 gamma=90.00
Sites, in units of the cell vectors:
Tl 0.006 0.198 0.174
Tl 0.006 0.302 0.674
Tl 0.994 0.698 0.326
Tl 0.994 0.802 0.826
Zn 0.500 0.000 0.000
Zn 0.500 0.500 0.500
Ga 0.199 0.208 0.928
Ga 0.199 0.292 0.428
Ga 0.200 0.701 0.576
Ga 0.200 0.799 0.076
Ga 0.491 0.063 0.814
Ga 0.491 0.437 0.314
Ga 0.492 0.666 0.954
Ga 0.492 0.834 0.454
Ga 0.499 0.595 0.158
Ga 0.499 0.905 0.658
Ga 0.501 0.095 0.342
Ga 0.501 0.405 0.842
Ga 0.508 0.166 0.546
Ga 0.508 0.334 0.046
Ga 0.509 0.563 0.686
Ga 0.509 0.937 0.186
Ga 0.800 0.201 0.924
Ga 0.800 0.299 0.424
Ga 0.801 0.708 0.572
Ga 0.801 0.792 0.072

The value obtained for the calculated volume is 25.028 A^3/atom. The space-group type is No. 14. The energy of formation from the pure elements comes out at 0.121 eV/atom.